# 1
PBE CaNd5Tl6, relaxed; electronic total energy = -3.73 eV per atom; volume = 356.7 Å³ per cell; excess energy over the best structure of this formula in the dataset = 0.03 eV per formula unit; total moment = 0.00 μB per formula unit; formation enthalpy at 0 K = -0.3926 eV/atom
1.0
5.2151 1.7308 0.0000
2.7535 9.1669 0.0000
1.3768 4.5835 8.2879
Nd Tl Ca
5 6 1
Direct
0.0000 0.6681 0.6639
0.0000 0.3319 0.3361
0.5000 0.8364 0.3271
0.5000 0.1636 0.6729
0.5000 0.5000 0.0000
0.7496 0.7504 0.0000
0.7500 0.4157 0.6686
0.7500 0.0843 0.3314
0.2500 0.9157 0.6686
0.2500 0.5843 0.3314
0.2504 0.2496 0.0000
0.0000 0.0000 0.0000


# 2
PBE ZrScAl2, relaxed; electronic total energy = -6.01 eV per atom; volume = 79.5 Å³ per cell; excess energy over the best structure of this formula in the dataset = 0.06 eV per formula unit; total moment = 0.01 μB per formula unit; formation enthalpy at 0 K = -0.4232 eV/atom
1.0
-2.5666 -3.4988 -0.2138
1.1100 -0.9954 2.9644
-3.4914 2.3201 3.9458
Al Sc Zr
2 1 1
Direct
0.0000 0.1956 0.9832
0.5000 0.0550 0.2656
0.0000 0.4627 0.4496
0.5000 0.7867 0.8015


# 3
PBE Tb4Pr2Tm, relaxed; electronic total energy = -4.00 eV per atom; volume = 266.2 Å³ per cell; excess energy over the best structure of this formula in the dataset = 4.38 eV per formula unit; total moment = 0.56 μB per formula unit; formation enthalpy at 0 K = 0.6464 eV/atom
1.0
5.5373 0.0000 0.0000
0.0000 5.5373 0.0000
-2.7687 -2.7687 8.6810
Tb Pr Tm
4 2 1
Direct
0.0000 0.5000 0.0000
0.8239 0.8239 0.6478
0.1761 0.1761 0.3522
0.5000 0.0000 0.0000
0.6246 0.6246 0.2493
0.3754 0.3754 0.7507
0.0000 0.0000 0.0000


# 4
PBE Ba2SrTa, relaxed; electronic total energy = -3.50 eV per atom; volume = 161.9 Å³ per cell; excess energy over the best structure of this formula in the dataset = 0.04 eV per formula unit; total moment = 0.00 μB per formula unit; formation enthalpy at 0 K = 0.8415 eV/atom
1.0
-1.1379 -0.0540 -3.5253
1.9779 -3.0846 -0.5460
-9.3239 -6.5290 3.1095
Ta Ba Sr
1 2 1
Direct
0.5000 0.5000 0.7466
0.0000 0.0000 0.9438
0.5000 0.5000 0.2527
0.0000 0.0000 0.5569